This record from the Alexandria database describes TaAsSe after structural relaxation. The functional is PBEsol.

The calculation puts the formation energy from raw total energies at -0.29 eV per atom. The total energy comes out at -7.458 eV/atom.

It has space group I4mm (No. 107), with a = 3.385 Å, b = 3.385 Å, c = 8.919 Å, α = 90.00°, β = 90.00° and γ = 90.00°. Symmetry generates all atoms from Ta at (0.000, 0.000, 0.000), As at (0.000, 0.000, 0.346) and Se at (0.000, 0.000, 0.655).